(1)
This record from Alexandria via LeMat-Bulk describes a geometry-optimized RbCdInPb structure. The functional is PBE.

abc: 5.6825 5.6825 5.6825
angles: 60.00 60.00 60.00
Fractional coordinates of all 4 atoms:
1 Pb 0.2500 0.2500 0.2500
2 Cd 0.0000 0.0000 0.0000
3 Rb 0.7500 0.7500 0.7500
4 In 0.5000 0.5000 0.5000

Calculated values
For the energy relative to the elements, the calculation gives 0.029 eV per atom. The calculation puts the total DFT energy (no corrections) at -2.053 eV per atom. The value obtained for the density of states at the Fermi level is 1.6 states/eV/f.u.

---

(2)
This record from Alexandria via LeMat-Bulk describes a geometry-optimized InRe2Pb structure. The functional is PBE.

abc: 5.3492 5.4850 3.0720
angles: 75.95 85.61 117.79
Fractional coordinates of all 4 atoms:
1 In 0.0000 0.5000 0.5000
2 Pb 0.5000 0.5000 0.0000
3 Re 0.0000 0.0000 0.0000
4 Re 0.5000 0.0000 0.5000

Calculated values
For the energy relative to the elements, the calculation gives 1.097 eV per atom. The calculation puts the total DFT energy (no corrections) at -6.739 eV per atom. The value obtained for the density of states at the Fermi level is 3.7 states/eV/f.u.

---

(3)
This record from Alexandria via LeMat-Bulk describes a geometry-optimized Pm7Pr2Sc2 structure. The functional is PBE.

abc: 3.6747 10.7310 10.7310
angles: 63.40 80.14 80.14
Fractional coordinates of all 11 atoms:
1 Pm 0.8256 0.0295 0.3194
2 Pm 0.8493 0.4589 0.8424
3 Pm 0.5000 0.0548 0.9452
4 Pm 0.6542 0.4314 0.2603
5 Pm 0.3458 0.7397 0.5686
6 Pm 0.1744 0.6806 0.9705
7 Pm 0.1507 0.1576 0.5411
8 Pr 0.0000 0.7193 0.2807
9 Pr 0.5000 0.4017 0.5983
10 Sc 0.6943 0.8959 0.7154
11 Sc 0.3057 0.2846 0.1041

Calculated values
For the energy relative to the elements, the calculation gives 0.174 eV per atom. The calculation puts the total DFT energy (no corrections) at -4.869 eV per atom. The value obtained for the density of states at the Fermi level is 16.9 states/eV/f.u.

---

(4)
This record from Alexandria via LeMat-Bulk describes a geometry-optimized Si2MoW2 structure. The functional is PBE.

abc: 6.6091 6.6091 3.3321
angles: 90.00 90.00 90.00
Fractional coordinates of all 10 atoms:
1 Mo 0.0000 0.0000 0.0000
2 Mo 0.5000 0.5000 0.0000
3 Si 0.3659 0.8659 0.0000
4 Si 0.8659 0.6341 0.0000
5 Si 0.6341 0.1341 0.0000
6 Si 0.1341 0.3659 0.0000
7 W 0.1602 0.6602 0.5000
8 W 0.6602 0.8398 0.5000
9 W 0.8398 0.3398 0.5000
10 W 0.3398 0.1602 0.5000

Calculated values
The calculation puts the total DFT energy (no corrections) at -9.600 eV per atom. As for the raw formation energy: -84 meV per atom. The value obtained for the density of states at the Fermi level is 3.4 states/eV/f.u.

---

(5)
This record from Alexandria via LeMat-Bulk describes a geometry-optimized Ac3Sb4Au2 structure. The functional is PBE.

abc: 4.7218 6.9706 10.0250
angles: 112.24 90.00 109.80
Fractional coordinates of all 9 atoms:
1 Ac 0.6545 0.3091 0.6802
2 Ac 0.0000 0.0000 0.0000
3 Ac 0.3455 0.6909 0.3198
4 Sb 0.7015 0.4030 0.0815
5 Sb 0.2985 0.5970 0.9185
6 Sb 0.9276 0.8551 0.6072
7 Sb 0.0724 0.1449 0.3928
8 Au 0.6068 0.2136 0.2815
9 Au 0.3932 0.7864 0.7185

Calculated values
The calculation puts the total DFT energy (no corrections) at -4.750 eV per atom. As for the raw formation energy: -820 meV per atom. The value obtained for the density of states at the Fermi level is 2.8 states/eV/f.u.

---

(6)
This record from Alexandria via LeMat-Bulk describes a geometry-optimized BeRuPb2 structure. The functional is PBE.

abc: 4.7932 4.7932 4.7932
angles: 60.00 60.00 60.00
Fractional coordinates of all 4 atoms:
1 Pb 0.2500 0.2500 0.2500
2 Pb 0.7500 0.7500 0.7500
3 Ru 0.5000 0.5000 0.5000
4 Be 0.0000 0.0000 0.0000

Calculated values
For the energy relative to the elements, the calculation gives 0.751 eV per atom. The calculation puts the total DFT energy (no corrections) at -4.353 eV per atom. The value obtained for the density of states at the Fermi level is 3.8 states/eV/f.u.

---

Number 1: size of the total moment 0.00 μB per formula unit. Number 2: size of the total moment 0.00 μB per formula unit. Number 3: size of the total moment 0.00 μB per formula unit. Number 4: size of the total moment 0.00 μB per formula unit. Number 5: size of the total moment 0.00 μB per formula unit. Number 6: size of the total moment 0.00 μB per formula unit.